An optimized crystal structure of RbNpInTe3, computed with GGA-PBE.

Cell: 8.5039 8.5039 11.8399 Å, 90.00 90.00 146.47°
Closest atoms and distances in Å follow each position.
Positions (direct):
Te (0.8743, 0.1257, 0.0547)  1 In 2.87
Rb (0.7464, 0.2536, 0.7500)  8 Te 3.81-4.17
Te (0.5743, 0.4257, 0.2500)  2 In 2.91, 2 Np 3.20
Np (0.5000, 0.5000, 0.0000)  6 Te 3.20-3.26
Te (0.1257, 0.8743, 0.9453)  1 In 2.87
Np (0.5000, 0.5000, 0.5000)  6 Te 3.20-3.26
Te (0.1257, 0.8743, 0.5547)  1 In 2.87
Te (0.8743, 0.1257, 0.4453)  1 In 2.87
In (0.9782, 0.0218, 0.2500)  4 Te 2.87-2.91
In (0.0218, 0.9782, 0.7500)  4 Te 2.87-2.91
Te (0.4257, 0.5743, 0.7500)  2 In 2.91, 2 Np 3.20
Rb (0.2536, 0.7464, 0.2500)  8 Te 3.81-4.17

Output
Its total energy is -4.95 eV per atom.

=====

An optimized crystal structure of TmMgMo, computed with GGA-PBE.

Cell: 4.7851 4.7851 4.7851 Å, 60.00 60.00 60.00°
Closest atoms and distances in Å follow each position.
Positions (direct):
Tm (0.7500, 0.7500, 0.7500)  4 Mo 2.93
Mo (0.0000, 0.0000, 0.0000)  4 Tm 2.93, 4 Mg 2.93
Mg (0.2500, 0.2500, 0.2500)  4 Mo 2.93

Output
Its total energy is -4.71 eV per atom.

=====

An optimized crystal structure of InTcPd, computed with GGA-PBE.

Cell: 4.4135 4.4135 4.4135 Å, 60.00 60.00 60.00°
Closest atoms and distances in Å follow each position.
Positions (direct):
In (0.2500, 0.2500, 0.2500)  4 Tc 2.70
Tc (0.0000, 0.0000, 0.0000)  4 Pd 2.70, 4 In 2.70
Pd (0.7500, 0.7500, 0.7500)  4 Tc 2.70

Output
Its total energy is -5.57 eV per atom.

=====

An optimized crystal structure of SmMgAuSeS2, computed with GGA-PBE.

Cell: 6.5360 6.5360 11.2267 Å, 90.00 90.00 145.39°
Closest atoms and distances in Å follow each position.
Positions (direct):
S (0.8506, 0.1494, 0.5562)  1 Au 2.37
Sm (0.5000, 0.5000, 0.0000)  4 S 2.77
Se (0.3937, 0.6063, 0.2500)  2 Mg 2.67, 2 Au 2.97
Au (0.9264, 0.0736, 0.7500)  2 S 2.37
Mg (0.2527, 0.7473, 0.7500)  2 Se 2.67, 2 Au 2.91
Mg (0.7473, 0.2527, 0.2500)  2 Se 2.67, 2 Au 2.91
S (0.1494, 0.8506, 0.4438)  1 Au 2.37
S (0.1494, 0.8506, 0.0562)  1 Au 2.37
Au (0.0736, 0.9264, 0.2500)  2 S 2.37
Sm (0.5000, 0.5000, 0.5000)  4 S 2.77
S (0.8506, 0.1494, 0.9438)  1 Au 2.37
Se (0.6063, 0.3937, 0.7500)  2 Mg 2.67, 2 Au 2.97

Output
Its total energy is -4.64 eV per atom.